GGA+U NiCN2O, relaxed; magnetic moment = 0.00 μB per formula unit; crystal system = tetragonal; space group = No. 123; E = -22.2 eV/cell
1.0
3.378 0.000 0.000
0.000 3.378 0.000
0.000 0.000 3.197
O C Ni N
1 1 1 2
Direct
0.000 0.000 0.500 O
0.000 0.000 0.000 C
0.500 0.500 0.500 Ni
0.000 0.500 0.000 N
0.500 0.000 0.000 N